[1]
VASP calculation (GGA-PBE) on crystalline BiIrBr2 at its relaxed geometry.

Lattice parameters (Å, degrees): 10.474 10.474 7.845 48.12 48.12 90.00
Fractional positions:
Ir 0.500 0.500 0.000
Ir 0.250 0.750 0.500
Bi 0.000 0.000 0.000
Bi 0.750 0.250 0.500
Br 0.373 0.125 0.250
Br 0.377 0.625 0.250
Br 0.375 0.627 0.750
Br 0.875 0.623 0.750

Summary:
The space group is I-42d, No. 122. For the density of states at the Fermi level, the calculation gives 5.48 states/eV/cell. Its relative energy among the computed polymorphs is 0 meV/atom.

=====

[2]
VASP calculation (GGA-PBE) on crystalline BiIrBr2 at its relaxed geometry.

Lattice parameters (Å, degrees): 10.047 10.047 10.047 21.19 21.19 21.19
Last column: magnetic moment on the atom in μB.
Fractional positions:
Ir 0.500 0.500 0.500  0.06
Bi 0.000 0.000 0.000  -0.01
Br 0.882 0.882 0.882  0.01
Br 0.118 0.118 0.118  0.01

Summary:
The space group is R-3m, No. 166. For the density of states at the Fermi level, the calculation gives 3.84 states/eV/cell. Its relative energy among the computed polymorphs is 106 meV/atom.

=====

[3]
VASP calculation (GGA-PBE) on crystalline BiIrBr2 at its relaxed geometry.

Lattice parameters (Å, degrees): 5.037 5.037 5.037 60.00 60.00 60.00
Last column: magnetic moment on the atom in μB.
Fractional positions:
Ir 0.000 0.000 0.000  0.45
Bi 0.500 0.500 0.500  -0.05
Br 0.250 0.250 0.250  0.02
Br 0.750 0.750 0.750  0.02

Summary:
The space group is Fm-3m, No. 225. For the density of states at the Fermi level, the calculation gives 4.80 states/eV/cell. Its relative energy among the computed polymorphs is 539 meV/atom.

=====

[4]
VASP calculation (GGA-PBE) on crystalline Bi2IrBr4 at its relaxed geometry.

Lattice parameters (Å, degrees): 5.414 5.414 8.400 71.20 71.20 90.00
Fractional positions:
Ir 0.000 0.000 0.000
Bi 0.602 0.602 0.796
Bi 0.398 0.398 0.204
Br 0.833 0.833 0.333
Br 0.167 0.167 0.667
Br 0.000 0.500 0.000
Br 0.500 0.000 0.000

Summary:
The space group is I4/mmm, No. 139. For the density of states at the Fermi level, the calculation gives 4.37 states/eV/cell. Its total energy is -0.230 Ry per atom.

=====

[5]
VASP calculation (GGA-PBE) on crystalline Bi3IrBr at its relaxed geometry.

Lattice parameters (Å, degrees): 5.439 5.439 5.439 90.00 90.00 90.00
Fractional positions:
Ir 0.000 0.000 0.000
Bi 0.000 0.500 0.000
Bi 0.000 0.000 0.500
Bi 0.500 0.000 0.000
Br 0.500 0.500 0.500

Summary:
The space group is Pm-3m, No. 221. For the density of states at the Fermi level, the calculation gives 10.76 states/eV/cell. Its relative energy among the computed polymorphs is 527 meV/atom.

=====

[6]
VASP calculation (GGA-PBE) on crystalline Bi3IrBr at its relaxed geometry.

Lattice parameters (Å, degrees): 5.472 5.472 5.472 90.00 90.00 90.00
Fractional positions:
Ir 0.500 0.500 0.500
Bi 0.000 0.500 0.000
Bi 0.000 0.000 0.500
Bi 0.500 0.000 0.000
Br 0.000 0.000 0.000

Summary:
The space group is Pm-3m, No. 221. For the density of states at the Fermi level, the calculation gives 3.21 states/eV/cell. Its relative energy among the computed polymorphs is 1680 meV/atom.